The following is a DFT calculation (GGA-PBE) of an optimized crystal structure of U2S2Cl.

The calculation puts the formation energy from raw total energies at -1251.7 meV per atom. For the total magnetization, the calculation gives 5.745 μB per formula unit. As for the energy: -77.9 eV per cell.

The structure belongs to space group Immm (No. 71); the cell edges are 3.807, 5.402 and 12.206 Å and the angles 90.00°, 90.00° and 90.00°. Symmetry generates all atoms from U at (0.000, 0.000, 0.174), S at (0.000, 0.500, 0.167) and Cl at (0.000, 0.500, 0.500).